Material: Ca2As
Method: DFT, PBE-GGA
State: optimized geometry

a b c (Å): 14.2344 14.2344 14.2344
angles (deg): 165.69 164.61 21.08
Last column: nearest neighbours and their distance in Å.
Fractional positions:
Ca: 0.3159 0.0659 0.2500  4 As 3.08, 1 Ca 3.28
Ca: 0.4330 0.1830 0.2500  4 As 3.07, 1 Ca 3.28
Ca: 0.5670 0.8170 0.7500  4 As 3.07, 1 Ca 3.28
Ca: 0.6841 0.9341 0.7500  4 As 3.08, 1 Ca 3.28
As: 0.1254 0.3754 0.7500  8 Ca 3.07-3.08
As: 0.8746 0.6246 0.2500  8 Ca 3.07-3.08

Properties
Electronic total energy: -3.57 eV/atom
Size of the total moment: 0.0000 μB/atom
SG: Imma, No. 74
Polymorph energy (0 for the lowest one): 262 meV per atom

***

Material: Ca2As
Method: DFT, PBE-GGA
State: optimized geometry

a b c (Å): 16.7505 16.7505 16.7505
angles (deg): 164.66 164.66 21.77
Last column: nearest neighbours and their distance in Å.
Fractional positions:
Ca: 0.1253 0.3753 0.7500  4 As 3.13-3.14, 4 Ca 3.16
Ca: 0.2902 0.5402 0.7500  4 As 3.22, 6 Ca 3.46-3.58
Ca: 0.3753 0.1253 0.2500  4 As 3.13-3.14, 4 Ca 3.16
Ca: 0.4598 0.7098 0.7500  4 As 3.22, 6 Ca 3.46-3.58
Ca: 0.5402 0.2902 0.2500  4 As 3.22, 6 Ca 3.46-3.58
Ca: 0.6247 0.8747 0.7500  4 As 3.13-3.14, 4 Ca 3.16
Ca: 0.7098 0.4598 0.2500  4 As 3.22, 6 Ca 3.46-3.58
Ca: 0.8747 0.6247 0.2500  4 As 3.13-3.14, 4 Ca 3.16
As: 0.0583 0.8083 0.2500  8 Ca 3.13-3.22
As: 0.1917 0.9417 0.2500  8 Ca 3.13-3.22
As: 0.8083 0.0583 0.7500  8 Ca 3.13-3.22
As: 0.9417 0.1917 0.7500  8 Ca 3.13-3.22

Properties
Electronic total energy: -3.65 eV/atom
Size of the total moment: 0.0000 μB/atom
SG: I4_1/amd, No. 141
Polymorph energy (0 for the lowest one): 186 meV per atom

***

Material: CaAs
Method: DFT, PBE-GGA
State: optimized geometry

a b c (Å): 6.0873 6.0873 5.1182
angles (deg): 90.73 90.73 31.15
Last column: nearest neighbours and their distance in Å.
Fractional positions:
Ca: 0.1196 0.1196 0.2498  7 As 3.03-3.26, 2 Ca 3.27
Ca: 0.8804 0.8804 0.7502  7 As 3.03-3.26, 2 Ca 3.27
As: 0.3791 0.3791 0.2505  7 Ca 3.03-3.26, 2 As 3.27
As: 0.6209 0.6209 0.7495  7 Ca 3.03-3.26, 2 As 3.27

Properties
Electronic total energy: -4.21 eV/atom
Size of the total moment: 0.0000 μB/atom
SG: C2/m, No. 12

***

Material: CaAs3
Method: DFT, PBE-GGA
State: optimized geometry

a b c (Å): 6.1734 6.1734 10.2852
angles (deg): 90.00 90.00 120.00
Last column: nearest neighbours and their distance in Å.
Fractional positions:
Ca: 0.0000 0.0000 0.0000  12 As 3.09-3.21
Ca: 0.0000 0.0000 0.5000  12 As 3.09-3.21
Ca: 0.3333 0.6667 0.2500  12 As 3.09-3.13
Ca: 0.6667 0.3333 0.7500  12 As 3.09-3.13
As: 0.0000 0.5000 0.0000  8 As 3.09, 4 Ca 3.09-3.13
As: 0.0000 0.5000 0.5000  8 As 3.09, 4 Ca 3.09-3.13
As: 0.1797 0.3594 0.7500  6 As 2.84-3.09, 2 Ca 3.09
As: 0.1797 0.8203 0.7500  6 As 2.84-3.09, 2 Ca 3.09
As: 0.3594 0.1797 0.2500  6 As 2.84-3.09, 2 Ca 3.09
As: 0.5000 0.0000 0.0000  8 As 3.09, 4 Ca 3.09-3.13
As: 0.5000 0.0000 0.5000  8 As 3.09, 4 Ca 3.09-3.13
As: 0.5000 0.5000 0.0000  8 As 3.09, 4 Ca 3.09-3.13
As: 0.5000 0.5000 0.5000  8 As 3.09, 4 Ca 3.09-3.13
As: 0.6406 0.8203 0.7500  6 As 2.84-3.09, 2 Ca 3.09
As: 0.8203 0.1797 0.2500  6 As 2.84-3.09, 2 Ca 3.09
As: 0.8203 0.6406 0.2500  6 As 2.84-3.09, 2 Ca 3.09

Properties
Electronic total energy: -4.30 eV/atom
Size of the total moment: 0.0000 μB/atom
SG: P6_3/mmc, No. 194

***

Material: CaAs3
Method: DFT, PBE-GGA
State: optimized geometry

a b c (Å): 5.5777 5.5777 5.5777
angles (deg): 116.12 116.12 116.12
Last column: nearest neighbours and their distance in Å.
Fractional positions:
Ca: 0.0000 0.0000 0.0000  6 As 2.95
As: 0.0000 0.5000 0.5000  4 As 2.95, 2 Ca 2.95
As: 0.5000 0.0000 0.5000  2 Ca 2.95, 4 As 2.95
As: 0.5000 0.5000 0.0000  4 As 2.95, 2 Ca 2.95

Properties
Electronic total energy: -4.15 eV/atom
Size of the total moment: 0.0000 μB/atom
SG: R-3m, No. 166

***

Material: Ca2As3
Method: DFT, PBE-GGA
State: optimized geometry

a b c (Å): 12.0196 5.8611 18.1651
angles (deg): 90.00 130.63 90.00
Last column: nearest neighbours and their distance in Å.
Fractional positions:
Ca: 0.0000 0.0389 0.2500  8 As 3.07-3.24
Ca: 0.0000 0.9611 0.7500  8 As 3.07-3.24
Ca: 0.1328 0.2587 0.5086  8 As 3.00-3.35
Ca: 0.1328 0.7413 0.0086  8 As 3.00-3.35
Ca: 0.2410 0.4517 0.2488  7 As 3.03-3.13
Ca: 0.2410 0.5483 0.7488  7 As 3.03-3.13
Ca: 0.3759 0.2455 0.0011  8 As 3.05-3.33
Ca: 0.3759 0.7545 0.5011  8 As 3.05-3.33
Ca: 0.5000 0.0882 0.2500  8 As 2.94-3.26
Ca: 0.5000 0.9118 0.7500  8 As 2.94-3.26
Ca: 0.6241 0.2455 0.4989  8 As 3.05-3.33
Ca: 0.6241 0.7545 0.9989  8 As 3.05-3.33
Ca: 0.7590 0.4517 0.2512  7 As 3.03-3.13
Ca: 0.7590 0.5483 0.7512  7 As 3.03-3.13
Ca: 0.8672 0.2587 0.9914  8 As 3.00-3.35
Ca: 0.8672 0.7413 0.4914  8 As 3.00-3.35
As: 0.0750 0.4537 0.8419  2 As 2.54-2.56
As: 0.0750 0.5463 0.3419  2 As 2.54-2.56
As: 0.1573 0.0499 0.6708  2 As 2.54
As: 0.1573 0.9501 0.1708  2 As 2.54
As: 0.1889 0.2264 0.0777  1 As 2.54
As: 0.1889 0.7736 0.5777  1 As 2.54
As: 0.2867 0.2680 0.4226  1 As 2.54
As: 0.2867 0.7320 0.9226  1 As 2.54
As: 0.3942 0.0981 0.8452  2 As 2.54-2.65
As: 0.3942 0.9019 0.3452  2 As 2.54-2.65
As: 0.4513 0.3990 0.6642  2 As 2.52-2.65
As: 0.4513 0.6010 0.1642  2 As 2.52-2.65
As: 0.5487 0.3990 0.8358  2 As 2.52-2.65
As: 0.5487 0.6010 0.3358  2 As 2.52-2.65
As: 0.6058 0.0981 0.6548  2 As 2.54-2.65
As: 0.6058 0.9019 0.1548  2 As 2.54-2.65
As: 0.7133 0.2680 0.0774  1 As 2.54
As: 0.7133 0.7320 0.5774  1 As 2.54
As: 0.8111 0.2264 0.4223  1 As 2.54
As: 0.8111 0.7736 0.9223  1 As 2.54
As: 0.8427 0.0499 0.8292  2 As 2.54
As: 0.8427 0.9501 0.3292  2 As 2.54
As: 0.9250 0.4537 0.6581  2 As 2.54-2.56
As: 0.9250 0.5463 0.1581  2 As 2.54-2.56

Properties
Electronic total energy: -4.48 eV/atom
Size of the total moment: 0.0000 μB/atom
SG: P2/c, No. 13
Polymorph energy (0 for the lowest one): 0 meV per atom

***

Among the records above, which one has the highest electronic total energy?
number 1